[1]
The following is a DFT calculation (PBE-GGA) of crystalline BaSrW2 at its relaxed geometry.

POSCAR file:
```
BaSrW2
1.0
4.100 0.000 0.000
0.000 4.183 0.000
-0.013 0.000 5.602
Ba Sr W
1 1 2
direct
0.000 0.000 0.000 Ba
0.500 0.500 0.000 Sr
0.000 0.500 0.500 W
0.500 0.000 0.500 W
```

## Properties
ΔE to the lowest computed polymorph = 832 meV per atom


[2]
The following is a DFT calculation (PBE-GGA) of crystalline Hf3Al3C5 at its relaxed geometry.

POSCAR file:
```
Hf3Al3C5
1.0
3.330 0.000 0.000
-1.665 2.884 0.000
0.000 0.000 27.508
Hf Al C
6 6 10
direct
0.000 0.000 0.000 Hf
0.000 0.000 0.500 Hf
0.333 0.667 0.094 Hf
0.333 0.667 0.406 Hf
0.667 0.333 0.594 Hf
0.667 0.333 0.906 Hf
0.000 0.000 0.250 Al
0.000 0.000 0.750 Al
0.333 0.667 0.676 Al
0.333 0.667 0.824 Al
0.667 0.333 0.176 Al
0.667 0.333 0.324 Al
0.000 0.000 0.150 C
0.000 0.000 0.350 C
0.000 0.000 0.650 C
0.000 0.000 0.850 C
0.333 0.667 0.549 C
0.333 0.667 0.750 C
0.333 0.667 0.951 C
0.667 0.333 0.049 C
0.667 0.333 0.250 C
0.667 0.333 0.451 C
```


Energy relative to the elements values, unit meV per atom, following the record order: 1558.5; -584.4.
Calculated density values, unit g/cm³, following the record order: 10.2; 8.5.